Li2CoSnO4: relaxed, GGA+U.

Raw total energy in eV per atom: -5.732
Space group: I-4m2, No. 119
Energy relative to the lowest polymorph listed for this composition in kJ/mol of formula units: 10.4

Cell: 4.2165 4.2165 5.4415 Å, 112.80 112.80 90.00°
Each line ends with the local moment (μB).
Fractional coordinates of all 8 atoms:
Li1 0.2500 0.7500 0.5000  0.00
Li2 0.0000 0.0000 0.0000  0.00
Co1 0.7500 0.2500 0.5000  2.71
Sn1 0.5000 0.5000 0.0000  -0.01
O1 0.9931 0.4931 0.9861  0.03
O2 0.5069 0.0069 0.0139  0.03
O3 0.2739 0.2739 0.5478  0.09
O4 0.7261 0.7261 0.4522  0.09